Here is an optimized crystal structure of PuVF4 from Alexandria. Energies are from PBE with a Hubbard U.

Calculated total energy (eV/cell): -44.1

Geometry as CIF:
```
data_PuVF4
_chemical_formula_sum 'Pu1 V1 F4'
_symmetry_space_group_name_H-M 'P -6 m 2'
_symmetry_Int_Tables_number 187
_symmetry_space_group_name_Hall 'P -6 2'
_cell_length_a 3.3858
_cell_length_b 3.3858
_cell_length_c 9.7880
_cell_angle_alpha 90.00
_cell_angle_beta 90.00
_cell_angle_gamma 120.00
loop_
_atom_site_label
_atom_site_type_symbol
_atom_site_fract_x
_atom_site_fract_y
_atom_site_fract_z
_atom_site_occupancy
Pu1 Pu 0.0000 0.0000 0.0000 1
V1 V 0.6667 0.3333 0.5000 1
F1 F 0.0000 0.0000 0.3782 1
F2 F 0.6667 0.3333 0.1424 1
```